A relaxed structure of Sr3TlO, computed with PBE-GGA.

Values from the calculation:
The symmetry is No. 194. The energy is -3.28 eV per atom. The density comes out at 5.5 g/cm3.

Cell lengths 5.716, 5.716, 10.348 Å; angles 90.00, 90.00, 120.00 degrees
Atoms (fractional coordinates):
1 Sr 0.000 0.000 0.250
2 Sr 0.000 0.000 0.750
3 Sr 0.333 0.667 0.066
4 Sr 0.333 0.667 0.434
5 Sr 0.667 0.333 0.566
6 Sr 0.667 0.333 0.934
7 Tl 0.333 0.667 0.750
8 Tl 0.667 0.333 0.250
9 O 0.000 0.000 0.000
10 O 0.000 0.000 0.500